## a
DFT (GGA-PBE) results for a relaxed Cr2CuS4 crystal.

Unit cell a=5.642 b=6.936 c=12.006 alpha=90.00 beta=90.00 gamma=90.00
Element x y z (fractional)
1 Cr 0.500 0.000 0.000
2 Cr 0.488 0.750 0.259
3 Cr 0.000 0.500 0.500
4 Cr 0.988 0.250 0.241
5 Cr 0.500 0.500 0.000
6 Cr 0.012 0.750 0.759
7 Cr 0.000 0.000 0.500
8 Cr 0.512 0.250 0.741
9 S 0.231 0.008 0.670
10 S 0.231 0.492 0.670
11 S 0.269 0.492 0.170
12 S 0.758 0.250 0.582
13 S 0.731 0.508 0.830
14 S 0.205 0.250 0.411
15 S 0.742 0.250 0.082
16 S 0.795 0.750 0.589
17 S 0.295 0.250 0.911
18 S 0.705 0.750 0.089
19 S 0.258 0.750 0.918
20 S 0.269 0.008 0.170
21 S 0.731 0.992 0.830
22 S 0.769 0.508 0.330
23 S 0.769 0.992 0.330
24 S 0.242 0.750 0.418
25 Cu 0.404 0.750 0.591
26 Cu 0.096 0.750 0.091
27 Cu 0.596 0.250 0.409
28 Cu 0.904 0.250 0.909

Calculated volume   469.8 Å³ per cell


## b
DFT (GGA-PBE) results for a relaxed Cr2CuS4 crystal.

Unit cell a=6.960 b=6.960 c=6.960 alpha=60.00 beta=60.00 gamma=60.00
Element x y z (fractional)
1 Cu 0.250 0.250 0.250
2 Cu 0.000 0.000 0.000
3 S 0.867 0.399 0.867
4 S 0.851 0.383 0.383
5 S 0.867 0.867 0.867
6 S 0.867 0.867 0.399
7 S 0.383 0.851 0.383
8 S 0.399 0.867 0.867
9 S 0.383 0.383 0.383
10 S 0.383 0.383 0.851
11 Cr 0.125 0.625 0.625
12 Cr 0.625 0.125 0.625
13 Cr 0.625 0.625 0.125
14 Cr 0.625 0.625 0.625

Calculated volume   238.4 Å³ per cell


If you had to name the least stable structure above, which would it be? It would be a.